Below is a relaxed structure of Mg2ZnCl2, with properties calculated at the PBE-GGA level.

Results
Energy above the lowest structure with this stoichiometry: 0 meV/atom
E_tot: -2.051 eV/atom
ΔE_f (raw): -0.4197 eV per atom
Theoretical density: 2.351 g/cm³
Total magnetic moment: 0.00 μB/atom

CIF file:
```
data_Mg2ZnCl2
_chemical_formula_sum 'Mg4 Zn2 Cl4'
_cell_length_a 8.787
_cell_length_b 8.787
_cell_length_c 3.384
_cell_angle_alpha 90.00
_cell_angle_beta 90.00
_cell_angle_gamma 90.00
_space_group_name_H-M_alt 'P 4/m b m'
_space_group_IT_number 127
_space_group_name_Hall '-P 4 2ab'
loop_
_atom_site_label
_atom_site_fract_x
_atom_site_fract_y
_atom_site_fract_z
Mg1 0.235 0.265 0.000
Zn1 0.000 0.000 0.500
Cl1 0.126 0.626 0.500
```